[1]
First-principles (PBE with a Hubbard U) data for a relaxed structure of CrN2ClF, as listed in Alexandria.

## Properties
- D(E_F) (states/eV/atom) = 0.581
- excess energy over the best structure of this formula in the dataset (eV per atom) = 0.000

Cell lengths 3.998, 3.998, 3.903 Å; angles 90.00, 90.00, 90.00 degrees
Space group P4/mmm (No. 123)
Inequivalent atoms, fractional coordinates:
Cr1 0.000 0.000 0.000
N1 0.000 0.500 0.000
Cl1 0.500 0.500 0.500
F1 0.000 0.000 0.500

---

[2]
First-principles (PBE with a Hubbard U) data for a relaxed structure of CrNCl2F, as listed in Alexandria.

## Properties
- D(E_F) (states/eV/atom) = 1.237
- calculated total energy (eV for the cell shown) = -19.14

Cell lengths 4.762, 4.762, 3.888 Å; angles 90.00, 90.00, 90.00 degrees
Space group P4/mmm (No. 123)
Inequivalent atoms, fractional coordinates:
Cr1 0.000 0.000 0.000
N1 0.500 0.500 0.500
Cl1 0.000 0.500 0.000
F1 0.000 0.000 0.500

---

[3]
First-principles (PBE with a Hubbard U) data for a relaxed structure of NaCrCl2F, as listed in Alexandria.

## Properties
- calculated total energy (eV for the cell shown) = -23.31

Cell lengths 5.147, 5.147, 3.967 Å; angles 90.00, 90.00, 90.00 degrees
Space group P4/mmm (No. 123)
Inequivalent atoms, fractional coordinates:
Na1 0.000 0.000 0.000
Cr1 0.500 0.500 0.500
Cl1 0.000 0.500 0.500
F1 0.500 0.500 0.000

---

[4]
First-principles (PBE with a Hubbard U) data for a relaxed structure of CrP2ClF, as listed in Alexandria.

## Properties
- D(E_F) (states/eV/atom) = 0.715
- excess energy over the best structure of this formula in the dataset (eV per atom) = 0.000

Cell lengths 4.374, 4.374, 4.654 Å; angles 90.00, 90.00, 90.00 degrees
Space group P4/mmm (No. 123)
Inequivalent atoms, fractional coordinates:
Cr1 0.000 0.000 0.000
P1 0.000 0.500 0.000
Cl1 0.000 0.000 0.500
F1 0.500 0.500 0.500

---

[5]
First-principles (PBE with a Hubbard U) data for a relaxed structure of CrP2ClF, as listed in Alexandria.

## Properties
- D(E_F) (states/eV/atom) = 0.686
- excess energy over the best structure of this formula in the dataset (eV per atom) = 0.477

Cell lengths 4.067, 4.067, 5.390 Å; angles 90.00, 90.00, 90.00 degrees
Space group P4/mmm (No. 123)
Inequivalent atoms, fractional coordinates:
Cr1 0.000 0.000 0.000
P1 0.000 0.500 0.500
Cl1 0.500 0.500 0.000
F1 0.500 0.500 0.500

---

[6]
First-principles (PBE with a Hubbard U) data for a relaxed structure of RbCrClF2, as listed in Alexandria.

## Properties
- calculated total energy (eV for the cell shown) = -25.25

Cell lengths 4.284, 4.284, 5.378 Å; angles 90.00, 90.00, 90.00 degrees
Space group P4/mmm (No. 123)
Inequivalent atoms, fractional coordinates:
Rb1 0.000 0.000 0.000
Cr1 0.500 0.500 0.500
Cl1 0.500 0.500 0.000
F1 0.000 0.500 0.500

---

Number 1: size of the total moment 0.00 μB/f.u.. Number 2: size of the total moment 3.68 μB/f.u.. Number 3: size of the total moment 4.00 μB/f.u.. Number 4: size of the total moment 0.00 μB/f.u.. Number 5: size of the total moment 0.65 μB/f.u.. Number 6: size of the total moment 4.00 μB/f.u..